Entry 1:
Crystalline ZnCdSi4 at its relaxed geometry. Source: Alexandria, functional PBE.

Values from the calculation:
As for the density of states at the Fermi level: 9.3 states/eV per cell. The energy relative to the elements, uncorrected is 2.88 eV per formula unit. The total energy is -3.50 eV per atom.

Cell and atoms, written as CIF:
```
data_ZnCdSi4
_cell_length_a 7.4237
_cell_length_b 7.4237
_cell_length_c 7.4237
_cell_angle_alpha 90.00
_cell_angle_beta 90.00
_cell_angle_gamma 90.00
_symmetry_space_group_name_H-M 'F -4 3 m'
_symmetry_Int_Tables_number 216
_symmetry_space_group_name_Hall 'F -4 2 3'
loop_
_atom_site_label
_atom_site_type_symbol
_atom_site_fract_x
_atom_site_fract_y
_atom_site_fract_z
_atom_site_occupancy
Zn1 Zn 0.0000 0.0000 0.0000 1
Cd1 Cd 0.2500 0.2500 0.7500 1
Si1 Si 0.1257 0.1257 0.3743 1
```



Entry 2:
Crystalline ZnCdSi2 at its relaxed geometry. Source: Alexandria, functional PBE.

Values from the calculation:
As for the density of states at the Fermi level: 1.6 states/eV per cell. The energy relative to the elements, uncorrected is 1.09 eV per formula unit. The value obtained for the energy above the most stable polymorph in this dataset is 0.0 meV/atom. The total energy is -2.99 eV per atom.

Cell and atoms, written as CIF:
```
data_ZnCdSi2
_cell_length_a 6.6306
_cell_length_b 2.8754
_cell_length_c 7.7887
_cell_angle_alpha 90.00
_cell_angle_beta 100.27
_cell_angle_gamma 90.00
_symmetry_space_group_name_H-M 'C 1 m 1'
_symmetry_Int_Tables_number 8
loop_
_symmetry_equiv_pos_as_xyz
'x,y,z'
'x,-y,z'
'x+1/2,y+1/2,z'
'x+1/2,-y+1/2,z'
loop_
_atom_site_label
_atom_site_type_symbol
_atom_site_fract_x
_atom_site_fract_y
_atom_site_fract_z
_atom_site_occupancy
Zn1 Zn 0.0000 0.0000 0.0000 1
Cd1 Cd 0.2166 0.5000 0.2880 1
Si1 Si 0.2446 0.0000 0.7656 1
Si2 Si 0.4879 0.0000 0.5744 1
```



Entry 3:
Crystalline Zn2CdSi at its relaxed geometry. Source: Alexandria, functional PBE.

Values from the calculation:
As for the density of states at the Fermi level: 2.5 states/eV per cell. The energy relative to the elements, uncorrected is 1.08 eV per formula unit. The value obtained for the energy above the most stable polymorph in this dataset is 56.4 meV/atom. The total energy is -1.95 eV per atom.

Cell and atoms, written as CIF:
```
data_Zn2CdSi
_cell_length_a 4.0880
_cell_length_b 4.0880
_cell_length_c 8.3294
_cell_angle_alpha 90.00
_cell_angle_beta 90.00
_cell_angle_gamma 90.00
_symmetry_space_group_name_H-M 'I -4 m 2'
_symmetry_Int_Tables_number 119
_symmetry_space_group_name_Hall 'I -4 -2'
loop_
_atom_site_label
_atom_site_type_symbol
_atom_site_fract_x
_atom_site_fract_y
_atom_site_fract_z
_atom_site_occupancy
Zn1 Zn 0.0000 0.0000 0.0000 1
Zn2 Zn 0.0000 0.5000 0.2500 1
Cd1 Cd 0.0000 0.5000 0.7500 1
Si1 Si 0.0000 0.0000 0.5000 1
```



Entry 4:
Crystalline ZnCdSi2 at its relaxed geometry. Source: Alexandria, functional PBE.

Values from the calculation:
As for the density of states at the Fermi level: 2.3 states/eV per cell. The energy relative to the elements, uncorrected is 1.78 eV per formula unit. The value obtained for the energy above the most stable polymorph in this dataset is 172.5 meV/atom. The total energy is -2.81 eV per atom.

Cell and atoms, written as CIF:
```
data_ZnCdSi2
_cell_length_a 4.2918
_cell_length_b 4.2918
_cell_length_c 7.6727
_cell_angle_alpha 90.00
_cell_angle_beta 90.00
_cell_angle_gamma 90.00
_symmetry_space_group_name_H-M 'I -4 m 2'
_symmetry_Int_Tables_number 119
_symmetry_space_group_name_Hall 'I -4 -2'
loop_
_atom_site_label
_atom_site_type_symbol
_atom_site_fract_x
_atom_site_fract_y
_atom_site_fract_z
_atom_site_occupancy
Zn1 Zn 0.0000 0.0000 0.0000 1
Cd1 Cd 0.0000 0.5000 0.7500 1
Si1 Si 0.0000 0.0000 0.5000 1
Si2 Si 0.0000 0.5000 0.2500 1
```



Entry 5:
Crystalline ZnCdSi3 at its relaxed geometry. Source: Alexandria, functional PBE.

Values from the calculation:
As for the density of states at the Fermi level: 1.8 states/eV per cell. The energy relative to the elements, uncorrected is 4.43 eV per formula unit. The value obtained for the energy above the most stable polymorph in this dataset is 0.0 meV/atom. The total energy is -2.81 eV per atom.

Cell and atoms, written as CIF:
```
data_ZnCdSi3
_cell_length_a 4.7324
_cell_length_b 4.7324
_cell_length_c 4.7324
_cell_angle_alpha 90.00
_cell_angle_beta 90.00
_cell_angle_gamma 90.00
_symmetry_space_group_name_H-M 'P m -3 m'
_symmetry_Int_Tables_number 221
_symmetry_space_group_name_Hall '-P 4 2 3'
loop_
_atom_site_label
_atom_site_type_symbol
_atom_site_fract_x
_atom_site_fract_y
_atom_site_fract_z
_atom_site_occupancy
Zn1 Zn 0.0000 0.0000 0.0000 1
Cd1 Cd 0.5000 0.5000 0.5000 1
Si1 Si 0.0000 0.0000 0.5000 1
```



Entry 6:
Crystalline ZnCdSi2 at its relaxed geometry. Source: Alexandria, functional PBE.

Values from the calculation:
As for the density of states at the Fermi level: 3.0 states/eV per cell. The energy relative to the elements, uncorrected is 1.57 eV per formula unit. The value obtained for the energy above the most stable polymorph in this dataset is 121.7 meV/atom. The total energy is -2.87 eV per atom.

Cell and atoms, written as CIF:
```
data_ZnCdSi2
_cell_length_a 2.7204
_cell_length_b 5.1277
_cell_length_c 10.3253
_cell_angle_alpha 90.00
_cell_angle_beta 90.00
_cell_angle_gamma 90.00
_symmetry_space_group_name_H-M 'I m m 2'
_symmetry_Int_Tables_number 44
loop_
_symmetry_equiv_pos_as_xyz
'x,y,z'
'-x,-y,z'
'-x,y,z'
'x,-y,z'
'x+1/2,y+1/2,z+1/2'
'-x+1/2,-y+1/2,z+1/2'
'-x+1/2,y+1/2,z+1/2'
'x+1/2,-y+1/2,z+1/2'
loop_
_atom_site_label
_atom_site_type_symbol
_atom_site_fract_x
_atom_site_fract_y
_atom_site_fract_z
_atom_site_occupancy
Zn1 Zn 0.0000 0.0000 0.0000 1
Cd1 Cd 0.0000 0.5000 0.7722 1
Si1 Si 0.0000 0.0000 0.5501 1
Si2 Si 0.0000 0.5000 0.2623 1
```